No. 1
La4Ag: optimized geometry, GGA-PBE.

```
La4Ag
1.0
-3.607 3.607 3.607
3.607 -3.607 3.607
3.607 3.607 -3.607
La Ag
4 1
direct
0.000 0.000 0.500 La
0.000 0.500 0.000 La
0.500 0.000 0.000 La
0.500 0.500 0.500 La
0.000 0.000 0.000 Ag
```

* uncorrected energy: -21.04 eV for the cell shown
* symmetry: Im-3m, No. 229

No. 2
LaTmPuSc: optimized geometry, GGA-PBE.

```
LaTmPuSc
1.0
0.000 3.910 3.910
3.910 0.000 3.910
3.910 3.910 0.000
La Tm Pu Sc
1 1 1 1
direct
0.000 0.000 0.000 La
0.250 0.250 0.250 Tm
0.500 0.500 0.500 Pu
0.750 0.750 0.750 Sc
```

* uncorrected energy: -29.26 eV for the cell shown
* symmetry: F-43m, No. 216

No. 3
ScCr2In: optimized geometry, GGA-PBE.

```
ScCr2In
1.0
0.000 3.306 3.306
3.306 0.000 3.306
3.306 3.306 0.000
Sc Cr In
1 2 1
direct
0.000 0.000 0.000 Sc
0.250 0.250 0.250 Cr
0.500 0.500 0.500 Cr
0.750 0.750 0.750 In
```

* uncorrected energy: -27.93 eV for the cell shown
* symmetry: F-43m, No. 216

No. 4
ScV2Pt6: optimized geometry, GGA-PBE.

```
ScV2Pt6
1.0
7.581 0.000 0.000
-3.790 6.565 0.000
0.000 0.000 2.793
Sc V Pt
1 2 6
direct
0.000 0.000 0.000 Sc
0.333 0.667 0.500 V
0.667 0.333 0.500 V
0.000 0.311 0.500 Pt
0.000 0.638 0.000 Pt
0.311 0.000 0.500 Pt
0.362 0.362 0.000 Pt
0.638 0.000 0.000 Pt
0.689 0.689 0.500 Pt
```

* uncorrected energy: -66.05 eV for the cell shown
* symmetry: P-62m, No. 189